1.
This record from the Alexandria database describes crystalline Pm2FePO8 at its relaxed geometry. The functional is GGA+U.

POSCAR file:
```
Pm2FePO8
1.0
6.384 0.000 0.000
-3.192 5.529 0.000
0.000 0.000 4.674
Pm Fe P O
2 1 1 8
direct
0.333 0.667 0.236 Pm
0.667 0.333 0.764 Pm
0.000 0.000 0.500 Fe
0.000 0.000 0.000 P
0.123 0.246 0.223 O
0.123 0.877 0.223 O
0.246 0.123 0.777 O
0.333 0.667 0.731 O
0.667 0.333 0.269 O
0.754 0.877 0.223 O
0.877 0.123 0.777 O
0.877 0.754 0.777 O
```

Values from the calculation:
Energy ... -6.9510 eV/atom
Total magnetization ... 3.04 μB/cell
SG ... P-3m1


2.
This record from the Alexandria database describes crystalline PmFe2PO8 at its relaxed geometry. The functional is GGA+U.

POSCAR file:
```
PmFe2PO8
1.0
5.445 0.000 0.000
-2.722 4.715 0.000
0.000 0.000 5.913
Pm Fe P O
1 2 1 8
direct
0.000 0.000 0.000 Pm
0.333 0.667 0.517 Fe
0.667 0.333 0.483 Fe
0.000 0.000 0.500 P
0.148 0.297 0.669 O
0.148 0.852 0.669 O
0.297 0.148 0.331 O
0.333 0.667 0.200 O
0.667 0.333 0.800 O
0.703 0.852 0.669 O
0.852 0.148 0.331 O
0.852 0.703 0.331 O
```

Values from the calculation:
Energy ... -6.5843 eV/atom
Total magnetization ... 12.00 μB/cell
SG ... P-3m1


Which value of energy does entry 1 give? -6.9510 eV/atom


Among the records above, which one has the lowest energy? Pm2FePO8